Rb3CuSe2 | PBE | relaxed

Lattice parameters (Å, degrees): 7.7229 9.3048 9.0977 120.76 115.12 90.00
Closest atoms and distances in Å follow each position.
Fractional positions:
Rb 0.5000 0.7500 0.0000  4 Se 3.42
Rb 0.7848 0.5348 0.5696  2 Se 3.30
Rb 0.5000 0.2500 0.0000  4 Se 3.42
Rb 0.7848 0.0348 0.5696  2 Se 3.30
Rb 0.2152 0.9652 0.4304  2 Se 3.30
Rb 0.2152 0.4652 0.4304  2 Se 3.30
Se 0.8718 0.1062 0.2124  1 Cu 2.32
Se 0.6594 0.3938 0.7876  1 Cu 2.32
Se 0.1282 0.8938 0.7876  1 Cu 2.32
Se 0.3406 0.6062 0.2124  1 Cu 2.32
Cu 0.0000 0.5000 0.0000  2 Se 2.32
Cu 0.0000 0.0000 0.0000  2 Se 2.32

Values from the calculation:
The size of the total moment comes out at 0.00 μB/f.u. For the energy, the calculation gives -3.1404 eV per atom. For the formation energy (no corrections), the calculation gives -0.81 eV/atom. Its space-group type is Ibam, No. 72. As for the crystal system: orthorhombic.